No. 1
BaZrPa2S8 | PBE-GGA | relaxed

```
data_BaZrPa2S8
_chemical_formula_sum 'Ba1 Zr1 Pa2 S8'
_cell_length_a 6.131
_cell_length_b 8.423
_cell_length_c 6.440
_cell_angle_alpha 90.00
_cell_angle_beta 91.78
_cell_angle_gamma 90.00
_space_group_name_H-M_alt 'P 1 2/m 1'
_space_group_IT_number 10
loop_
_space_group_symop_operation_xyz
'x,y,z'
'-x,-y,-z'
'-x,y,-z'
'x,-y,z'
loop_
_atom_site_label
_atom_site_fract_x
_atom_site_fract_y
_atom_site_fract_z
Ba1 0.000 0.000 0.000
Zr1 0.000 0.500 0.000
Pa1 0.500 0.255 0.500
S1 0.245 0.292 0.170
S2 0.273 0.500 0.667
S3 0.277 0.000 0.613
```

**Calculated density**: 4731 kg/m3
**M_tot**: 0.00 Bohr magnetons per cell
**Formation energy without anion corrections**: -1.5282 eV/atom

---

No. 2
Ba2ZrPaS6 | PBE-GGA | relaxed

```
data_Ba2ZrPaS6
_chemical_formula_sum 'Ba4 Zr2 Pa2 S12'
_cell_length_a 7.287
_cell_length_b 10.305
_cell_length_c 7.283
_cell_angle_alpha 90.00
_cell_angle_beta 90.00
_cell_angle_gamma 90.00
_space_group_name_H-M_alt 'P m m n'
_space_group_IT_number 59
loop_
_space_group_symop_operation_xyz
'x,y,z'
'-x,-y,-z'
'-x+1/2,-y+1/2,z'
'x+1/2,y+1/2,-z'
'x+1/2,-y,-z'
'-x+1/2,y,z'
'-x,y+1/2,-z'
'x,-y+1/2,z'
loop_
_atom_site_label
_atom_site_fract_x
_atom_site_fract_y
_atom_site_fract_z
Ba1 0.250 0.000 0.248
Zr1 0.250 0.250 0.750
Pa1 0.250 0.750 0.750
S1 0.003 0.250 0.503
S2 0.003 0.250 0.997
S3 0.250 0.003 0.751
```

**Calculated density**: 4793 kg/m3
**M_tot**: 1.46 Bohr magnetons per cell
**Formation energy without anion corrections**: -1.8061 eV/atom